No. 1
{
  "formula": "Ni2TeHPd",
  "functional": "PBE",
  "state": "optimized geometry",
  "total_energy_ev_per_atom": -4.638,
  "dos_at_fermi_per_ev_fu": 5.08,
  "spacegroup": "No. 123",
  "cell": [[4.006, 0.000, 0.000], [0.000, 4.006, 0.000], [0.000, 0.000, 3.853]],
  "species": ["Ni", "Ni", "Te", "H", "Pd"],
  "fractional_positions": [[0.000, 0.500, 0.000], [0.500, 0.000, 0.000], [0.000, 0.000, 0.500], [0.500, 0.500, 0.000], [0.500, 0.500, 0.500]]
}

---

No. 2
{
  "formula": "GdAlCdHg",
  "functional": "PBE",
  "state": "optimized geometry",
  "total_energy_ev_per_atom": -5.015,
  "dos_at_fermi_per_ev_fu": 1.66,
  "spacegroup": "No. 216",
  "formation_energy_ev_per_atom": -0.255,
  "cell": [[0.000, 3.574, 3.574], [3.574, 0.000, 3.574], [3.574, 3.574, 0.000]],
  "species": ["Gd", "Al", "Cd", "Hg"],
  "fractional_positions": [[0.000, 0.000, 0.000], [0.500, 0.500, 0.500], [0.750, 0.750, 0.750], [0.250, 0.250, 0.250]]
}

---

No. 3
{
  "formula": "UAl2Ir",
  "functional": "PBE",
  "state": "optimized geometry",
  "total_energy_ev_per_atom": -7.400,
  "dos_at_fermi_per_ev_fu": 4.31,
  "spacegroup": "No. 123",
  "formation_energy_ev_per_atom": -0.491,
  "cell": [[2.928, 0.000, 0.000], [0.000, 2.928, 0.000], [0.000, 0.000, 7.812]],
  "species": ["U", "Al", "Al", "Ir"],
  "fractional_positions": [[0.000, 0.000, 0.000], [0.500, 0.500, 0.300], [0.500, 0.500, 0.700], [0.000, 0.000, 0.500]]
}

---

No. 4
{
  "formula": "LaAlTc2",
  "functional": "PBE",
  "state": "optimized geometry",
  "total_energy_ev_per_atom": -7.283,
  "dos_at_fermi_per_ev_fu": 4.47,
  "spacegroup": "No. 10",
  "formation_energy_ev_per_atom": 0.068,
  "cell": [[3.412, 0.000, 0.000], [0.000, 3.381, 0.000], [-0.038, 0.000, 6.803]],
  "species": ["La", "Al", "Tc", "Tc"],
  "fractional_positions": [[0.000, 0.000, 0.000], [0.000, 0.000, 0.500], [0.497, 0.500, 0.328], [0.503, 0.500, 0.672]]
}